# Be3ZnI PBE optimized geometry
# formation energy (no corrections)	1717	meV/atom
data_Be3ZnI
_chemical_formula_sum 'Be3 Zn1 I1'
_cell_length_a 4.789
_cell_length_b 4.789
_cell_length_c 4.789
_cell_angle_alpha 90.00
_cell_angle_beta 90.00
_cell_angle_gamma 90.00
_space_group_name_H-M_alt 'P 1'
_space_group_IT_number 1
loop_
_space_group_symop_operation_xyz
'x,y,z'
loop_
_atom_site_label
_atom_site_fract_x
_atom_site_fract_y
_atom_site_fract_z
I1 0.000 0.000 0.000
Be1 0.000 0.500 0.000
Be2 0.000 0.000 0.500
Be3 0.500 0.000 0.000
Zn1 0.500 0.500 0.500

# BeZnI4 PBE optimized geometry
# formation energy (no corrections)	-356	meV/atom
data_BeZnI4
_chemical_formula_sum 'Be2 Zn2 I8'
_cell_length_a 3.967
_cell_length_b 6.918
_cell_length_c 15.052
_cell_angle_alpha 90.50
_cell_angle_beta 90.00
_cell_angle_gamma 90.00
_space_group_name_H-M_alt 'P 1'
_space_group_IT_number 1
loop_
_space_group_symop_operation_xyz
'x,y,z'
loop_
_atom_site_label
_atom_site_fract_x
_atom_site_fract_y
_atom_site_fract_z
Be1 0.500 0.500 0.500
Be2 0.000 0.000 0.000
Zn1 0.000 0.000 0.500
Zn2 0.500 0.500 0.000
I1 0.500 0.815 0.394
I2 0.000 0.685 0.106
I3 0.500 0.185 0.606
I4 0.000 0.315 0.894
I5 0.999 0.342 0.397
I6 0.499 0.158 0.103
I7 0.001 0.658 0.603
I8 0.501 0.842 0.897

# Zr2BeI PBE optimized geometry
# formation energy (no corrections)	307	meV/atom
data_Zr2BeI
_chemical_formula_sum 'Zr2 Be1 I1'
_cell_length_a 4.848
_cell_length_b 4.848
_cell_length_c 4.848
_cell_angle_alpha 60.00
_cell_angle_beta 60.00
_cell_angle_gamma 60.00
_space_group_name_H-M_alt 'P 1'
_space_group_IT_number 1
loop_
_space_group_symop_operation_xyz
'x,y,z'
loop_
_atom_site_label
_atom_site_fract_x
_atom_site_fract_y
_atom_site_fract_z
I1 0.500 0.500 0.500
Be1 0.000 0.000 0.000
Zr1 0.250 0.250 0.250
Zr2 0.750 0.750 0.750

# ZrBe3I PBE optimized geometry
# formation energy (no corrections)	1647	meV/atom
data_ZrBe3I
_chemical_formula_sum 'Zr1 Be3 I1'
_cell_length_a 5.000
_cell_length_b 5.000
_cell_length_c 5.000
_cell_angle_alpha 90.00
_cell_angle_beta 90.00
_cell_angle_gamma 90.00
_space_group_name_H-M_alt 'P 1'
_space_group_IT_number 1
loop_
_space_group_symop_operation_xyz
'x,y,z'
loop_
_atom_site_label
_atom_site_fract_x
_atom_site_fract_y
_atom_site_fract_z
I1 0.500 0.500 0.500
Be1 0.000 0.500 0.000
Be2 0.000 0.000 0.500
Be3 0.500 0.000 0.000
Zr1 0.000 0.000 0.000

Calculated calculated volume in order - 109.8, 413.1, 80.6, 125.0 Å³/cell
Calculated total magnetization in order - 0.000, 0.000, 0.000, 0.000 μB/f.u.